First-principles (PBE) data for crystalline CdIn12Ga6 at its relaxed geometry, as listed in Alexandria via LeMat-Bulk.

## Properties
- energy of formation from the pure elements (kJ per mole of atoms) = 8.6
- E above lowest polymorph (eV per atom) = 0.0499
- calculated density (g/cm3) = 5.9
- E_tot (eV/atom) = -2.644
- size of the total moment (μB/cell) = 0.00
- volume (Å³/cell) = 533.2

Unit cell a=8.212 b=8.212 c=8.212 alpha=98.56 beta=98.56 gamma=98.56
Sites, in units of the cell vectors:
Cd (0.000, 0.000, 0.000)
In (0.058, 0.910, 0.334)
In (0.090, 0.666, 0.942)
In (0.182, 0.448, 0.591)
In (0.334, 0.058, 0.910)
In (0.409, 0.818, 0.552)
In (0.448, 0.591, 0.182)
In (0.552, 0.409, 0.818)
In (0.591, 0.182, 0.448)
In (0.666, 0.942, 0.090)
In (0.818, 0.552, 0.409)
In (0.910, 0.334, 0.058)
In (0.942, 0.090, 0.666)
Ga (0.143, 0.584, 0.294)
Ga (0.294, 0.143, 0.584)
Ga (0.416, 0.706, 0.857)
Ga (0.584, 0.294, 0.143)
Ga (0.706, 0.857, 0.416)
Ga (0.857, 0.416, 0.706)